Density functional theory data (GGA-PBE) for ReMoPt after structural relaxation.

Lattice parameters (Å, degrees): 2.7784 2.7784 11.9721 90.00 90.00 90.00
Sites, in units of the cell vectors:
Re: 0.0000 0.0000 0.0000
Re: 0.5000 0.5000 0.5000
Mo: 0.0000 0.0000 0.6590
Mo: 0.5000 0.5000 0.1590
Pt: 0.0000 0.0000 0.3318
Pt: 0.5000 0.5000 0.8318

## Properties
Symmetry: I4mm, No. 107
Density (g/cm3): 17.15
Formation energy (kcal/mol of atoms): -1.114
Polymorph energy (0 for the lowest one) (meV/atom): 22